PuMnInCl6: relaxed, PBE.

CIF file:
```
data_PuMnInCl6
_chemical_formula_sum 'Pu2 Mn2 In2 Cl12'
_cell_length_a 6.9256
_cell_length_b 6.9256
_cell_length_c 13.7414
_cell_angle_alpha 90.00
_cell_angle_beta 90.00
_cell_angle_gamma 120.00
_space_group_name_H-M_alt 'P -3 1 c'
_space_group_IT_number 163
_space_group_name_Hall '-P 3 2c'
loop_
_atom_site_label
_atom_site_fract_x
_atom_site_fract_y
_atom_site_fract_z
Pu1 0.3333 0.6667 0.2500
Mn1 0.3333 0.6667 0.7500
In1 0.0000 0.0000 0.0000
Cl1 0.0204 0.3784 0.6433
```

raw total energy = -5.54 eV per atom
magnetic moment = 1.111 μB/atom